1.
# K2Ti2Re PBE relaxed
data_K2Ti2Re
_space_group_name_H-M_alt 'I 4/m m m'
_space_group_IT_number 139
_space_group_name_Hall '-I 4 2'
_cell_length_a 5.032
_cell_length_b 5.032
_cell_length_c 8.461
_cell_angle_alpha 90.00
_cell_angle_beta 90.00
_cell_angle_gamma 90.00
loop_
_atom_site_label
_atom_site_fract_x
_atom_site_fract_y
_atom_site_fract_z
K1 0.000 0.000 0.142
Ti1 0.000 0.500 0.250
Re1 0.000 0.000 0.500
# Relative energy among the computed polymorphs = 181 meV per atom
# Calculated density = 5.58 g/cm3
# Energy of formation from the pure elements = 10.9 eV per formula unit



2.
# Ac2ErMg3 PBE relaxed
data_Ac2ErMg3
_space_group_name_H-M_alt 'P 4/m m m'
_space_group_IT_number 123
_space_group_name_Hall '-P 4 2'
_cell_length_a 3.986
_cell_length_b 3.986
_cell_length_c 12.083
_cell_angle_alpha 90.00
_cell_angle_beta 90.00
_cell_angle_gamma 90.00
loop_
_atom_site_label
_atom_site_fract_x
_atom_site_fract_y
_atom_site_fract_z
Ac1 0.000 0.000 0.178
Er1 0.000 0.000 0.500
Mg1 0.500 0.500 0.000
Mg2 0.500 0.500 0.359
# Calculated density = 6.01 g/cm3
# Energy of formation from the pure elements = -0.4 eV per formula unit



3.
# Er4ScRh PBE relaxed
data_Er4ScRh
_space_group_name_H-M_alt 'C 1 2/c 1'
_space_group_IT_number 15
_cell_length_a 8.891
_cell_length_b 12.839
_cell_length_c 5.938
_cell_angle_alpha 90.00
_cell_angle_beta 107.63
_cell_angle_gamma 90.00
loop_
_space_group_symop_operation_xyz
'x,y,z'
'-x,-y,-z'
'-x,y,-z+1/2'
'x,-y,z+1/2'
'x+1/2,y+1/2,z'
'-x+1/2,-y+1/2,-z'
'-x+1/2,y+1/2,-z+1/2'
'x+1/2,-y+1/2,z+1/2'
loop_
_atom_site_label
_atom_site_fract_x
_atom_site_fract_y
_atom_site_fract_z
Er1 0.108 0.171 0.052
Er2 0.217 0.410 0.364
Sc1 0.000 0.382 0.750
Rh1 0.000 0.002 0.250
# Calculated density = 8.40 g/cm3
# Energy of formation from the pure elements = -1.5 eV per formula unit



4.
# Bi3TeN PBE relaxed
data_Bi3TeN
_space_group_name_H-M_alt 'P m -3 m'
_space_group_IT_number 221
_space_group_name_Hall '-P 4 2 3'
_cell_length_a 5.036
_cell_length_b 5.036
_cell_length_c 5.036
_cell_angle_alpha 90.00
_cell_angle_beta 90.00
_cell_angle_gamma 90.00
loop_
_atom_site_label
_atom_site_fract_x
_atom_site_fract_y
_atom_site_fract_z
Bi1 0.000 0.000 0.500
Te1 0.500 0.500 0.500
N1 0.000 0.000 0.000
# Relative energy among the computed polymorphs = 0 meV per atom
# Calculated density = 9.99 g/cm3
# Formation energy (no corrections) = 51 kJ per mole of atoms



5.
# AlTeH PBE relaxed
data_AlTeH
_space_group_name_H-M_alt 'P 4/n m m'
_space_group_IT_number 129
_cell_length_a 4.007
_cell_length_b 4.007
_cell_length_c 6.290
_cell_angle_alpha 90.00
_cell_angle_beta 90.00
_cell_angle_gamma 90.00
loop_
_space_group_symop_operation_xyz
'x,y,z'
'-x,-y,-z'
'-y+1/2,x,z'
'y+1/2,-x,-z'
'-x+1/2,-y+1/2,z'
'x+1/2,y+1/2,-z'
'y,-x+1/2,z'
'-y,x+1/2,-z'
'x+1/2,-y,-z'
'-x+1/2,y,z'
'-y,-x,-z'
'y,x,z'
'-x,y+1/2,-z'
'x,-y+1/2,z'
'y+1/2,x+1/2,-z'
'-y+1/2,-x+1/2,z'
loop_
_atom_site_label
_atom_site_fract_x
_atom_site_fract_y
_atom_site_fract_z
Al1 0.250 0.750 0.000
Te1 0.250 0.250 0.329
H1 0.250 0.250 0.895
# Calculated density = 5.12 g/cm3
# Total DFT energy (no corrections) = -9.70 eV per formula unit



6.
# CsHoSiS4 PBE relaxed
data_CsHoSiS4
_space_group_name_H-M_alt 'P 21 21 21'
_space_group_IT_number 19
_cell_length_a 6.408
_cell_length_b 6.726
_cell_length_c 17.972
_cell_angle_alpha 90.00
_cell_angle_beta 90.00
_cell_angle_gamma 90.00
loop_
_space_group_symop_operation_xyz
'x,y,z'
'-x+1/2,-y,z+1/2'
'x+1/2,-y+1/2,-z'
'-x,y+1/2,-z+1/2'
loop_
_atom_site_label
_atom_site_fract_x
_atom_site_fract_y
_atom_site_fract_z
Cs1 0.016 0.006 0.468
Ho1 0.209 0.023 0.728
Si1 0.209 0.517 0.330
S1 0.054 0.012 0.099
S2 0.067 0.254 0.851
S3 0.103 0.579 0.220
S4 0.104 0.747 0.841
# Relative energy among the computed polymorphs = 0 meV per atom
# Calculated density = 3.89 g/cm3
# Formation energy (no corrections) = -139 kJ per mole of atoms



7.
# SrPRu PBE relaxed
data_SrPRu
_space_group_name_H-M_alt 'I 4 m m'
_space_group_IT_number 107
_space_group_name_Hall 'I 4 -2'
_cell_length_a 3.206
_cell_length_b 3.206
_cell_length_c 11.223
_cell_angle_alpha 90.00
_cell_angle_beta 90.00
_cell_angle_gamma 90.00
loop_
_atom_site_label
_atom_site_fract_x
_atom_site_fract_y
_atom_site_fract_z
Sr1 0.000 0.000 0.000
P1 0.000 0.000 0.703
Ru1 0.000 0.000 0.286
# Calculated density = 6.33 g/cm3
# Energy of formation from the pure elements = -1.2 eV per formula unit



8.
# InH2F2 PBE relaxed
data_InH2F2
_space_group_name_H-M_alt 'P 1'
_space_group_IT_number 1
_cell_length_a 3.309
_cell_length_b 5.795
_cell_length_c 8.646
_cell_angle_alpha 83.95
_cell_angle_beta 87.98
_cell_angle_gamma 89.98
loop_
_space_group_symop_operation_xyz
'x,y,z'
loop_
_atom_site_label
_atom_site_fract_x
_atom_site_fract_y
_atom_site_fract_z
In1 0.000 0.000 0.000
In2 0.471 0.460 0.316
H1 0.431 0.936 0.658
H2 0.601 0.955 0.598
H3 0.966 0.563 0.701
H4 0.991 0.454 0.755
F1 0.487 0.223 0.147
F2 0.491 0.703 0.116
F3 0.963 0.247 0.408
F4 0.966 0.676 0.376
# Relative energy among the computed polymorphs = 0 meV per atom
# Calculated density = 3.12 g/cm3